1.
Density functional theory data (PBE) for a geometry-optimized SrPd4O8 structure.

```
26
Lattice="6.2124 0.0000 0.0000 -3.1062 5.3801 0.0000 0.0000 0.0000 12.6376" Properties=species:S:1:pos:R:3 pbc="T T T"
Sr 0.0000 0.0000 0.0000
Sr 0.0000 0.0000 6.3188
Pd 0.0000 0.0000 3.1594
Pd 0.0000 0.0000 9.4782
Pd -1.3045 2.8336 3.1594
Pd 1.3045 2.8336 3.1594
Pd 0.0000 5.0930 3.1594
Pd 3.1062 0.2871 9.4782
Pd 1.8017 2.5465 9.4782
Pd 4.4107 2.5465 9.4782
O 0.0000 1.7329 1.9071
O 0.0000 1.7329 4.4117
O -1.6055 4.5137 1.9071
O -1.6055 4.5137 4.4117
O 1.5007 0.8664 8.2259
O 1.5007 0.8664 10.7305
O 0.0000 3.5867 8.4339
O 0.0000 3.5867 10.5224
O 3.1062 1.7934 2.1151
O 3.1062 1.7934 4.2036
O 1.6055 4.5137 1.9071
O 1.6055 4.5137 4.4117
O 4.7117 0.8664 8.2259
O 4.7117 0.8664 10.7305
O 3.1062 3.6472 8.2259
O 3.1062 3.6472 10.7305
```

## Properties
The calculation puts the final energy at -4.980 eV/atom. Its energy above the lowest structure with this stoichiometry is 530 meV/atom. As for the mass density: 5.0 Mg/m³. Its crystal system is hexagonal. The raw formation energy comes out at -202 meV per atom.


2.
Density functional theory data (PBE) for a geometry-optimized NaSnPCO7 structure.

```
22
Lattice="5.1737 0.0000 0.0000 0.0000 6.5709 0.0000 -0.3206 0.0000 9.3299" Properties=species:S:1:pos:R:3 pbc="T T T"
Na 0.6000 0.0000 1.2821
Na 4.2531 3.2855 8.0479
Sn 1.0736 5.3143 6.1119
Sn 3.7794 2.0289 3.2181
P 1.2493 2.0138 5.3480
P 3.6037 5.2993 3.9819
C 1.7465 5.2355 8.5758
C 3.1065 1.9500 0.7542
O 0.4886 1.9910 4.0046
O 0.4625 5.2920 8.1561
O 0.8442 3.2304 6.2153
O 0.9553 0.7880 6.2276
O 2.0810 5.3666 4.3277
O 2.2486 1.8262 1.7746
O 2.3940 5.3142 0.4371
O 2.4590 2.0287 8.8929
O 2.6044 5.1116 7.5553
O 2.7720 2.0811 5.0022
O 3.8977 4.0735 3.1024
O 4.0088 6.5159 3.1146
O 4.3905 2.0065 1.1738
O 4.3644 5.2765 5.3253
```

## Properties
The calculation puts the final energy at -6.769 eV/atom. Its energy above the lowest structure with this stoichiometry is 11 meV/atom. As for the mass density: 3.1 Mg/m³. Its crystal system is monoclinic. The raw formation energy comes out at -1799 meV per atom.


Magnetic moment per entry: 1.86; 0.07 μB per formula unit